Sc2ZnP | SCAN | PBEsol geometry

Summary:
Final energy: -14.07 eV per atom
Space-group type: Amm2
DFT formation energy: -0.975 eV/atom
Excess energy over the best structure of this formula in the dataset: 0 meV per atom
Volume: 69.6 Å³ per cell

Cell lengths 3.688, 3.812, 5.304 Å; angles 111.06, 90.00, 90.00 degrees
Sites, in units of the cell vectors:
Sc  0.000  0.267  0.534
Zn  0.000  0.545  0.089
P  0.500  0.707  0.415
Sc  0.500  0.981  0.962